[1]
This record from the Alexandria database describes an optimized crystal structure of PmYMnHg. The functional is PBE.

Cell: 5.2234 5.2234 5.2234 Å, 60.00 60.00 60.00°
Closest atoms and distances in Å follow each position.
Element x y z (fractional)
Pm: 0.0000 0.0000 0.0000  4 Hg 3.20, 4 Mn 3.20
Y: 0.5000 0.5000 0.5000  4 Hg 3.20, 4 Mn 3.20
Mn: 0.2500 0.2500 0.2500  4 Pm 3.20, 4 Y 3.20
Hg: 0.7500 0.7500 0.7500  4 Pm 3.20, 4 Y 3.20

VASP energy	-20.99	eV per cell
formation enthalpy at 0 K	-75	meV per atom

=====

[2]
This record from the Alexandria database describes an optimized crystal structure of Tm5Ge5Os2. The functional is PBE.

Cell: 7.7560 7.7560 10.6088 Å, 128.68 128.68 31.57°
Closest atoms and distances in Å follow each position.
Element x y z (fractional)
Tm: 0.0000 0.0000 0.0000  6 Ge 2.97-3.15, 4 Os 2.97
Tm: 0.1177 0.1177 0.4213  3 Os 2.92-2.96, 7 Ge 3.00-3.18
Tm: 0.1951 0.1951 0.8249  5 Ge 2.87-3.01, 1 Os 2.98
Tm: 0.8049 0.8049 0.1751  5 Ge 2.87-3.01, 1 Os 2.98
Tm: 0.8823 0.8823 0.5787  3 Os 2.92-2.96, 7 Ge 3.00-3.18
Ge: 0.2529 0.2529 0.3019  2 Os 2.49
Ge: 0.4403 0.4403 0.1567  1 Os 2.53
Ge: 0.5000 0.5000 0.5000  4 Ge 2.82-3.14
Ge: 0.5597 0.5597 0.8433  1 Os 2.53
Ge: 0.7471 0.7471 0.6981  2 Os 2.49
Os: 0.3535 0.3535 0.7460  3 Ge 2.49-2.53
Os: 0.6465 0.6465 0.2540  3 Ge 2.49-2.53

VASP energy	-74.79	eV per cell
formation enthalpy at 0 K	-574	meV per atom

=====

[3]
This record from the Alexandria database describes an optimized crystal structure of NaNiH3. The functional is PBE.

Cell: 4.7771 4.7771 5.9946 Å, 97.04 97.04 40.45°
Closest atoms and distances in Å follow each position.
Element x y z (fractional)
Na: 0.1143 0.1143 0.3554  3 H 2.12-2.23
Na: 0.8857 0.8857 0.6446  3 H 2.12-2.23
Ni: 0.3685 0.3685 0.0845  6 H 1.60-1.73
Ni: 0.6315 0.6315 0.9155  6 H 1.60-1.73
H: 0.1881 0.1881 0.9515  3 Ni 1.71-1.73
H: 0.3623 0.3623 0.3508  1 Ni 1.60
H: 0.4488 0.4488 0.8589  2 Ni 1.61-1.63
H: 0.5512 0.5512 0.1411  2 Ni 1.61-1.63
H: 0.6377 0.6377 0.6492  1 Ni 1.60
H: 0.8119 0.8119 0.0485  3 Ni 1.71-1.73

VASP energy	-35.43	eV per cell

=====

[4]
This record from the Alexandria database describes an optimized crystal structure of CaFeMo2. The functional is PBE.

Cell: 2.8977 2.8977 8.2682 Å, 90.00 90.00 90.00°
Closest atoms and distances in Å follow each position.
Element x y z (fractional)
Ca: 0.0000 0.0000 0.0000  4 Ca 2.90, 4 Fe 3.02
Fe: 0.5000 0.5000 0.2681  4 Mo 2.44
Mo: 0.0000 0.0000 0.4286  4 Fe 2.44
Mo: 0.5000 0.5000 0.6773  8 Mo 2.90

offset from the most stable computed form	0.000	eV/atom
VASP energy	-30.05	eV per cell
formation enthalpy at 0 K	519	meV per atom